Entry 1:
Below is a relaxed ScBiP2 crystal, with properties calculated at the PBE level.

POSCAR file:
```
ScBiP2
1.0
6.1223 0.0000 0.0000
0.0000 6.1223 0.0000
3.0611 3.0611 6.2776
Sc P Bi
2 4 2
direct
0.5000 0.5000 0.0000 Sc
0.2500 0.7500 0.5000 Sc
0.5934 0.1250 0.2500 P
0.1566 0.6250 0.2500 P
0.3750 0.4066 0.7500 P
0.8750 0.8434 0.7500 P
0.0000 0.0000 0.0000 Bi
0.7500 0.2500 0.5000 Bi
```

The calculated volume comes out at 29.4 Å³/atom. The value obtained for the formation energy from the elements is -322 meV per atom.

=====

Entry 2:
Below is a relaxed ScBiP crystal, with properties calculated at the PBE level.

POSCAR file:
```
ScBiP
1.0
-4.3877 0.5758 0.0033
-2.6776 -3.3925 -0.9511
-2.6774 -3.4513 9.5534
P Bi Sc
2 2 2
direct
0.2884 0.2884 0.1349 P
0.7116 0.7116 0.8651 P
0.1380 0.1380 0.5859 Bi
0.8620 0.8620 0.4141 Bi
0.3732 0.3732 0.8803 Sc
0.6268 0.6268 0.1197 Sc
```

The calculated volume comes out at 28.8 Å³/atom. The value obtained for the formation energy from the elements is -595 meV per atom.

=====

Entry 3:
Below is a relaxed ScBiP3 crystal, with properties calculated at the PBE level.

POSCAR file:
```
ScBiP3
1.0
-1.1215 4.9948 -0.2545
-2.1784 -0.7227 -4.5829
-4.5019 -0.8946 2.2810
Sc P Bi
1 3 1
direct
0.5000 0.5000 0.5000 Sc
0.0000 0.5000 0.0000 P
0.0000 0.0000 0.5000 P
0.5000 0.0000 0.0000 P
0.0000 0.0000 0.0000 Bi
```

The calculated volume comes out at 26.9 Å³/atom. The value obtained for the formation energy from the elements is 973 meV per atom.

=====

Entry 4:
Below is a relaxed Sc3BiP crystal, with properties calculated at the PBE level.

POSCAR file:
```
Sc3BiP
1.0
4.8868 0.0000 0.0000
0.0000 6.0419 -2.8387
0.0000 0.0691 7.9963
Sc Bi P
6 2 2
direct
0.5000 0.2654 0.0000 Sc
0.0000 0.8598 0.7196 Sc
0.5000 0.7346 0.0000 Sc
0.5000 0.5000 0.5000 Sc
0.0000 0.1402 0.2804 Sc
0.5000 0.0000 0.5000 Sc
0.0000 0.6367 0.2734 Bi
0.0000 0.3633 0.7266 Bi
0.5000 0.1210 0.2420 P
0.5000 0.8790 0.7580 P
```

The calculated volume comes out at 23.7 Å³/atom. The value obtained for the formation energy from the elements is -773 meV per atom.

=====

Entry 5:
Below is a relaxed ScBi3P crystal, with properties calculated at the PBE level.

POSCAR file:
```
ScBi3P
1.0
-0.8627 4.5886 2.9696
-2.8543 -2.9421 3.7169
4.6612 -0.9524 2.8257
Sc P Bi
1 1 3
direct
0.0000 0.0000 0.0000 Sc
0.5000 0.5000 0.5000 P
0.0000 0.5000 0.0000 Bi
0.0000 0.0000 0.5000 Bi
0.5000 0.0000 0.0000 Bi
```

The calculated volume comes out at 33.9 Å³/atom. The value obtained for the formation energy from the elements is 671 meV per atom.

=====

Entry 6:
Below is a relaxed Sc4BiP crystal, with properties calculated at the PBE level.

POSCAR file:
```
Sc4BiP
1.0
7.0369 -0.4951 0.0000
-1.4599 6.1376 0.0000
-2.7885 -2.8212 6.9504
Sc Bi P
8 2 2
direct
0.8974 0.3062 0.0750 Sc
0.6776 0.7688 0.0750 Sc
0.2858 0.5641 0.6108 Sc
0.7142 0.4359 0.3892 Sc
0.1750 0.9533 0.3892 Sc
0.3224 0.2312 0.9250 Sc
0.8250 0.0467 0.6108 Sc
0.1026 0.6938 0.9250 Sc
0.3899 0.6399 0.2798 Bi
0.6101 0.3601 0.7202 Bi
0.0682 0.8182 0.6364 P
0.9318 0.1818 0.3636 P
```

The calculated volume comes out at 24.6 Å³/atom. The value obtained for the formation energy from the elements is -637 meV per atom.